1.
Material: Ba2AlCd3Ga4
Method: DFT, GGA-PBE
State: relaxed

abc: 4.6656 4.6656 11.6525
angles: 90.00 90.00 90.00
With the nearest neighbours (Å) after each atom.
Fractional positions:
Ba (0.5000, 0.0000, 0.2538)  8 Ga 3.57-3.77, 6 Cd 3.58-3.70, 2 Al 3.70
Ba (0.0000, 0.5000, 0.7462)  8 Ga 3.57-3.77, 6 Cd 3.58-3.70, 2 Al 3.70
Al (0.5000, 0.5000, 0.5000)  4 Ga 2.78
Cd (0.0000, 0.0000, 0.5000)  4 Ga 2.78
Cd (0.5000, 0.0000, 0.8658)  5 Ga 2.76-2.81
Cd (0.0000, 0.5000, 0.1342)  5 Ga 2.76-2.81
Ga (0.5000, 0.5000, 0.0000)  4 Cd 2.81
Ga (0.0000, 0.0000, 0.0000)  4 Cd 2.81
Ga (0.5000, 0.0000, 0.6291)  3 Cd 2.76-2.78, 2 Al 2.78
Ga (0.0000, 0.5000, 0.3709)  3 Cd 2.76-2.78, 2 Al 2.78

Computed properties:
Energy of formation in meV/atom: -325
Volume in A^3/atom: 25.4
Crystal system: tetragonal

=====

2.
Material: Ba2BO
Method: DFT, GGA-PBE
State: relaxed

abc: 5.1002 5.1002 5.1002
angles: 60.00 60.00 60.00
With the nearest neighbours (Å) after each atom.
Fractional positions:
B (0.0000, 0.0000, 0.0000)  8 Ba 3.12
Ba (0.2500, 0.2500, 0.2500)  4 O 3.12, 4 B 3.12
Ba (0.7500, 0.7500, 0.7500)  4 O 3.12, 4 B 3.12
O (0.5000, 0.5000, 0.5000)  8 Ba 3.12

Computed properties:
Excess energy over the best structure of this formula in the dataset in kJ/mol of formula units: 118
Formation energy (no corrections) in meV/atom: -209
Volume in A^3/atom: 23.5
Crystal system: cubic

=====

3.
Material: Sr2TaAg
Method: DFT, GGA-PBE
State: relaxed

abc: 5.5894 5.5894 6.6231
angles: 81.90 81.90 34.19
With the nearest neighbours (Å) after each atom.
Fractional positions:
Ag (0.2500, 0.2500, 0.2500)  2 Ag 3.29, 6 Sr 3.32-3.41
Sr (0.9939, 0.9939, 0.9982)  3 Ta 3.28-3.40, 4 Sr 3.29-3.66, 3 Ag 3.32-3.41
Sr (0.5061, 0.5061, 0.5018)  3 Ta 3.28-3.40, 4 Sr 3.29-3.66, 3 Ag 3.32-3.41
Ta (0.7500, 0.7500, 0.7500)  6 Sr 3.28-3.40, 2 Ta 3.29

Computed properties:
Energy of formation in meV/atom: 886
Excess energy over the best structure of this formula in the dataset in kJ/mol of formula units: 134
Volume in A^3/atom: 28.8
Crystal system: monoclinic

=====

4.
Material: HfP2AuCl
Method: DFT, GGA-PBE
State: relaxed

abc: 4.8141 4.8141 4.7171
angles: 90.00 90.00 90.00
With the nearest neighbours (Å) after each atom.
Fractional positions:
Hf (0.5000, 0.5000, 0.5000)  8 P 3.37, 4 Cl 3.40
Au (0.0000, 0.0000, 0.0000)  2 Cl 2.36, 4 P 2.41
P (0.0000, 0.5000, 0.0000)  2 Au 2.41
P (0.5000, 0.0000, 0.0000)  2 Au 2.41
Cl (0.0000, 0.0000, 0.5000)  2 Au 2.36

Computed properties:
Excess energy over the best structure of this formula in the dataset in kJ/mol of formula units: 277
Formation energy (no corrections) in meV/atom: 732
Volume in A^3/atom: 21.9
Crystal system: tetragonal